(A)
Crystalline Er2PuCd at its relaxed geometry, computed with PBE.

## Properties
Space group   P4/mmm

a b c (Å): 5.442 5.442 3.589
angles (deg): 90.00 90.00 90.00
Fractional positions:
Er1 0.000 0.500 0.000
Er2 0.500 0.000 0.000
Pu1 0.000 0.000 0.500
Cd1 0.500 0.500 0.500

(B)
Crystalline Er2PuCd at its relaxed geometry, computed with PBE.

## Properties
Space group   P4/mmm

a b c (Å): 3.452 3.452 9.142
angles (deg): 90.00 90.00 90.00
Fractional positions:
Er1 0.000 0.000 0.234
Er2 0.000 0.000 0.766
Pu1 0.500 0.500 0.500
Cd1 0.500 0.500 0.000

(C)
Crystalline Er2PuCd at its relaxed geometry, computed with PBE.

## Properties
Space group   Fm-3m

a b c (Å): 5.362 5.362 5.362
angles (deg): 60.00 60.00 60.00
Fractional positions:
Er1 0.250 0.250 0.250
Er2 0.750 0.750 0.750
Pu1 0.000 0.000 0.000
Cd1 0.500 0.500 0.500

Stability, highest: (B)

(A)
Crystalline ErPuCdRu at its relaxed geometry, computed with PBE.

## Properties
Space group   F-43m

a b c (Å): 5.020 5.020 5.020
angles (deg): 60.00 60.00 60.00
Fractional positions:
Er1 0.000 0.000 0.000
Pu1 0.500 0.500 0.500
Cd1 0.750 0.750 0.750
Ru1 0.250 0.250 0.250

(B)
Crystalline ErPuCdRu at its relaxed geometry, computed with PBE.

## Properties
Space group   P4mm

a b c (Å): 3.319 3.319 8.266
angles (deg): 90.00 90.00 90.00
Fractional positions:
Er1 0.000 0.000 0.000
Pu1 0.000 0.000 0.584
Cd1 0.500 0.500 0.287
Ru1 0.500 0.500 0.794

Stability, highest: (B)

(A)
Crystalline Er4CdRh2 at its relaxed geometry, computed with PBE.

## Properties
Space group   P4/mmm

a b c (Å): 4.875 4.875 6.987
angles (deg): 90.00 90.00 90.00
Fractional positions:
Er1 0.000 0.500 0.239
Er2 0.000 0.500 0.761
Er3 0.500 0.000 0.239
Er4 0.500 0.000 0.761
Cd1 0.000 0.000 0.500
Rh1 0.000 0.000 0.000
Rh2 0.500 0.500 0.500

(B)
Crystalline Er4CdRh2 at its relaxed geometry, computed with PBE.

## Properties
Space group   R-3m

a b c (Å): 10.612 10.612 10.612
angles (deg): 24.40 24.40 24.40
Fractional positions:
Er1 0.108 0.108 0.108
Er2 0.299 0.299 0.299
Er3 0.701 0.701 0.701
Er4 0.892 0.892 0.892
Cd1 0.500 0.500 0.500
Rh1 0.403 0.403 0.403
Rh2 0.597 0.597 0.597

Stability, highest: (B)